Record 1
MgAl2Sb | PBE-GGA | relaxed

a = 3.1763 Å, b = 3.1763 Å, c = 8.3428 Å
α = 90.00°, β = 90.00°, γ = 90.00°
Space group P4mm (No. 99)
One atom of each set of equivalent atoms:
1 Mg 0.0000 0.0000 0.0000 (multiplicity 1)
2 Al 0.0000 0.0000 0.5627 (multiplicity 1)
3 Al 0.5000 0.5000 0.7643 (multiplicity 1)
4 Sb 0.5000 0.5000 0.2806 (multiplicity 1)

Computed properties:
Crystal system: tetragonal
Volume (Å³ per cell): 84.17
Total moment (μB/f.u.): 0.00
Formation energy from raw total energies (eV per atom): 0.07



Record 2
Ca2ZrTe | PBE-GGA | relaxed

a = 3.8039 Å, b = 3.8039 Å, c = 8.4626 Å
α = 90.00°, β = 90.00°, γ = 90.00°
Space group P4mm (No. 99)
One atom of each set of equivalent atoms:
1 Ca 0.0000 0.0000 0.0000 (multiplicity 1)
2 Ca 0.5000 0.5000 0.3418 (multiplicity 1)
3 Zr 0.5000 0.5000 0.7483 (multiplicity 1)
4 Te 0.0000 0.0000 0.5945 (multiplicity 1)

Computed properties:
Crystal system: tetragonal
Volume (Å³ per cell): 122.45
Total moment (μB/f.u.): 0.05
Formation energy from raw total energies (eV per atom): -0.38



Please write out number 1 again, unchanged.
MgAl2Sb | PBE-GGA | relaxed

a = 3.1763 Å, b = 3.1763 Å, c = 8.3428 Å
α = 90.00°, β = 90.00°, γ = 90.00°
Space group P4mm (No. 99)
One atom of each set of equivalent atoms:
1 Mg 0.0000 0.0000 0.0000 (multiplicity 1)
2 Al 0.0000 0.0000 0.5627 (multiplicity 1)
3 Al 0.5000 0.5000 0.7643 (multiplicity 1)
4 Sb 0.5000 0.5000 0.2806 (multiplicity 1)

Computed properties:
Crystal system: tetragonal
Volume (Å³ per cell): 84.17
Total moment (μB/f.u.): 0.00
Formation energy from raw total energies (eV per atom): 0.07



Please write out number 1 again, unchanged.
MgAl2Sb | PBE-GGA | relaxed

a = 3.1763 Å, b = 3.1763 Å, c = 8.3428 Å
α = 90.00°, β = 90.00°, γ = 90.00°
Space group P4mm (No. 99)
One atom of each set of equivalent atoms:
1 Mg 0.0000 0.0000 0.0000 (multiplicity 1)
2 Al 0.0000 0.0000 0.5627 (multiplicity 1)
3 Al 0.5000 0.5000 0.7643 (multiplicity 1)
4 Sb 0.5000 0.5000 0.2806 (multiplicity 1)

Computed properties:
Crystal system: tetragonal
Volume (Å³ per cell): 84.17
Total moment (μB/f.u.): 0.00
Formation energy from raw total energies (eV per atom): 0.07